No. 1
Here is a geometry-optimized TmLuBeIn structure from Alexandria via LeMat-Bulk. Energies are from PBE.

Lattice parameters (Å, degrees): 5.021 5.021 5.021 60.00 60.00 60.00
Sites, in units of the cell vectors:
Be 0.000 0.000 0.000
Lu 0.250 0.250 0.250
Tm 0.750 0.750 0.750
In 0.500 0.500 0.500

## Properties
Energy of formation (eV per atom): -0.109
N(E_F) (states/eV/cell): 3.273

No. 2
Here is a geometry-optimized Pm6Y3TmTh2 structure from Alexandria via LeMat-Bulk. Energies are from PBE.

Lattice parameters (Å, degrees): 6.237 6.237 11.989 94.98 94.98 119.94
Sites, in units of the cell vectors:
Pm 0.918 0.582 0.753
Pm 0.746 0.746 0.247
Pm 0.082 0.418 0.247
Pm 0.582 0.918 0.753
Pm 0.254 0.254 0.753
Pm 0.418 0.082 0.247
Y 0.167 0.833 0.500
Y 0.833 0.167 0.500
Y 0.500 0.500 0.500
Tm 0.000 0.000 0.000
Th 0.334 0.666 0.000
Th 0.666 0.334 0.000

## Properties
Energy of formation (eV per atom): 0.034
N(E_F) (states/eV/cell): 17.949

No. 3
Here is a geometry-optimized Pm3GaB structure from Alexandria via LeMat-Bulk. Energies are from PBE.

Lattice parameters (Å, degrees): 5.122 5.122 5.122 90.00 90.00 90.00
Sites, in units of the cell vectors:
B 0.000 0.000 0.000
Ga 0.500 0.500 0.500
Pm 0.000 0.500 0.000
Pm 0.000 0.000 0.500
Pm 0.500 0.000 0.000

## Properties
Energy of formation (eV per atom): -0.107
N(E_F) (states/eV/cell): 7.537

No. 4
Here is a geometry-optimized Sm2TmGe3Ir4 structure from Alexandria via LeMat-Bulk. Energies are from PBE.

Lattice parameters (Å, degrees): 4.172 4.172 11.208 90.00 90.00 90.00
Sites, in units of the cell vectors:
Sm 0.500 0.000 0.230
Sm 0.000 0.500 0.770
Tm 0.500 0.500 0.500
Ge 0.000 0.000 0.500
Ge 0.500 0.000 0.877
Ge 0.000 0.500 0.123
Ir 0.500 0.500 0.000
Ir 0.000 0.000 0.000
Ir 0.500 0.000 0.658
Ir 0.000 0.500 0.342

## Properties
Energy of formation (eV per atom): -0.808
N(E_F) (states/eV/cell): 4.973

No. 5
Here is a geometry-optimized Na6CuF12 structure from Alexandria via LeMat-Bulk. Energies are from PBE.

Lattice parameters (Å, degrees): 6.454 6.454 6.454 98.22 98.22 98.22
Site moments in Bohr magnetons follow the coordinates.
Sites, in units of the cell vectors:
Na 0.729 0.848 0.387  0.00
Na 0.613 0.271 0.152  0.00
Na 0.152 0.613 0.271  0.00
Na 0.271 0.152 0.613  0.00
Na 0.387 0.729 0.848  0.00
Na 0.848 0.387 0.729  0.00
Cu 0.000 0.000 0.000  0.78
F 0.845 0.528 0.424  0.38
F 0.424 0.845 0.528  0.38
F 0.528 0.424 0.845  0.38
F 0.155 0.472 0.576  0.38
F 0.576 0.155 0.472  0.38
F 0.472 0.576 0.155  0.38
F 0.057 0.978 0.292  0.11
F 0.022 0.708 0.943  0.11
F 0.708 0.943 0.022  0.11
F 0.943 0.022 0.708  0.11
F 0.978 0.292 0.057  0.11
F 0.292 0.057 0.978  0.11

## Properties
Formation energy without anion corrections (kJ per mole of atoms): -197
N(E_F) (states/eV/cell): 9.705

No. 6
Here is a geometry-optimized Cd2Pd2I structure from Alexandria via LeMat-Bulk. Energies are from PBE.

Lattice parameters (Å, degrees): 7.920 7.920 3.463 90.00 90.00 90.00
Sites, in units of the cell vectors:
I 0.000 0.000 0.000
I 0.500 0.500 0.000
Pd 0.138 0.638 0.500
Pd 0.638 0.862 0.500
Pd 0.862 0.362 0.500
Pd 0.362 0.138 0.500
Cd 0.356 0.856 0.000
Cd 0.856 0.644 0.000
Cd 0.644 0.144 0.000
Cd 0.144 0.356 0.000

## Properties
Relative energy among the computed polymorphs (meV/atom): 152
Formation energy without anion corrections (kJ per mole of atoms): 1
N(E_F) (states/eV/cell): 3.782

Which of these has the highest N(E_F)?
Pm6Y3TmTh2

What is the formula in the fifth record?
Na6CuF12

Please write out number 1 again, unchanged.
Here is a geometry-optimized TmLuBeIn structure from Alexandria via LeMat-Bulk. Energies are from PBE.

Lattice parameters (Å, degrees): 5.021 5.021 5.021 60.00 60.00 60.00
Sites, in units of the cell vectors:
Be 0.000 0.000 0.000
Lu 0.250 0.250 0.250
Tm 0.750 0.750 0.750
In 0.500 0.500 0.500

## Properties
Energy of formation (eV per atom): -0.109
N(E_F) (states/eV/cell): 3.273